[1]
# ZrV2Ga4

ZrV2Ga4 after structural relaxation (PBEsol, the Alexandria database).

Cell: 5.114 5.195 5.195 Å, 75.98 60.51 60.51°
Fractional coordinates of all 7 atoms:
Ga (0.697, 0.000, 0.606)
Ga (0.697, 0.606, 0.000)
Ga (0.303, 0.000, 0.394)
Zr (0.000, 0.000, 0.000)
V (0.750, 0.500, 0.500)
Ga (0.303, 0.394, 0.000)
V (0.250, 0.500, 0.500)

magnetization	0.00	μB/atom
crystal system	tetragonal
DFT formation energy	-0.461	eV/atom
space group	I4/mmm, No. 139

[2]
# ZrGaW3

ZrGaW3 after structural relaxation (PBEsol, the Alexandria database).

Cell: 4.727 4.727 4.727 Å, 90.00 90.00 90.00°
Fractional coordinates of all 5 atoms:
W (0.500, 0.000, 0.000)
Zr (0.000, 0.000, 0.000)
Ga (0.500, 0.500, 0.500)
W (0.000, 0.500, 0.000)
W (0.000, 0.000, 0.500)

magnetization	0.00	μB/atom
crystal system	cubic
DFT formation energy	2.612	eV/atom
space group	Pm-3m, No. 221

[3]
# Y3Ga2

Y3Ga2 after structural relaxation (PBEsol, the Alexandria database).

Cell: 10.951 10.951 10.951 Å, 95.76 116.73 116.73°
Fractional coordinates of all 40 atoms:
Ga (0.856, 0.880, 0.380)
Ga (0.000, 0.250, 0.250)
Y (0.865, 0.162, 0.432)
Ga (0.144, 0.524, 0.024)
Y (0.135, 0.567, 0.297)
Y (0.270, 0.338, 0.203)
Y (0.730, 0.933, 0.068)
Ga (0.856, 0.476, 0.976)
Y (0.838, 0.669, 0.169)
Y (0.730, 0.568, 0.433)
Y (0.135, 0.068, 0.338)
Y (0.270, 0.703, 0.838)
Y (0.500, 0.169, 0.331)
Y (0.730, 0.297, 0.162)
Ga (0.266, 0.883, 0.383)
Y (0.730, 0.662, 0.797)
Y (0.500, 0.853, 0.353)
Y (0.500, 0.353, 0.853)
Ga (0.500, 0.380, 0.524)
Ga (0.000, 0.500, 0.500)
Ga (0.144, 0.120, 0.620)
Ga (0.500, 0.620, 0.476)
Y (0.865, 0.433, 0.703)
Y (0.865, 0.932, 0.662)
Y (0.865, 0.203, 0.933)
Y (0.270, 0.432, 0.567)
Ga (0.500, 0.383, 0.117)
Ga (0.500, 0.976, 0.120)
Ga (0.000, 0.750, 0.750)
Y (0.500, 0.147, 0.647)
Ga (0.000, 0.000, 0.000)
Y (0.162, 0.331, 0.831)
Y (0.500, 0.647, 0.147)
Y (0.135, 0.797, 0.067)
Ga (0.500, 0.617, 0.883)
Ga (0.500, 0.024, 0.880)
Y (0.500, 0.831, 0.669)
Y (0.135, 0.838, 0.568)
Y (0.270, 0.067, 0.932)
Ga (0.734, 0.117, 0.617)

magnetization	0.00	μB/atom
crystal system	tetragonal
DFT formation energy	-0.603	eV/atom
space group	I4/mcm, No. 140

[4]
# YGa6

YGa6 after structural relaxation (PBEsol, the Alexandria database).

Cell: 5.858 5.858 7.496 Å, 90.00 90.00 90.00°
Fractional coordinates of all 14 atoms:
Ga (0.178, 0.322, 0.352)
Ga (0.322, 0.178, 0.648)
Ga (0.500, 0.500, 0.161)
Ga (0.500, 0.500, 0.839)
Y (0.000, 0.500, 0.000)
Y (0.500, 0.000, 0.000)
Ga (0.000, 0.000, 0.839)
Ga (0.822, 0.322, 0.648)
Ga (0.678, 0.178, 0.352)
Ga (0.822, 0.678, 0.352)
Ga (0.000, 0.000, 0.161)
Ga (0.678, 0.822, 0.648)
Ga (0.178, 0.678, 0.648)
Ga (0.322, 0.822, 0.352)

magnetization	0.00	μB/atom
crystal system	tetragonal
DFT formation energy	-0.370	eV/atom
space group	P4/nbm, No. 125

[5]
# YGa

YGa after structural relaxation (PBEsol, the Alexandria database).

Cell: 4.006 4.281 5.799 Å, 68.34 90.00 90.00°
Fractional coordinates of all 4 atoms:
Ga (0.750, 0.576, 0.849)
Y (0.250, 0.140, 0.720)
Y (0.750, 0.860, 0.280)
Ga (0.250, 0.424, 0.151)

magnetization	0.00	μB/atom
crystal system	orthorhombic
DFT formation energy	-0.703	eV/atom
space group	Cmcm, No. 63

[6]
# Y4ZnGa3

Y4ZnGa3 after structural relaxation (PBEsol, the Alexandria database).

Cell: 3.954 4.288 11.236 Å, 101.00 100.13 90.00°
Fractional coordinates of all 8 atoms:
Zn (0.464, 0.964, 0.928)
Ga (0.787, 0.287, 0.575)
Ga (0.212, 0.212, 0.424)
Y (0.320, 0.820, 0.640)
Y (0.072, 0.072, 0.145)
Ga (0.537, 0.537, 0.075)
Y (0.680, 0.680, 0.360)
Y (0.927, 0.427, 0.854)

magnetization	0.00	μB/atom
crystal system	orthorhombic
DFT formation energy	-0.597	eV/atom
space group	Imm2, No. 44

[7]
# YZr3Ga

YZr3Ga after structural relaxation (PBEsol, the Alexandria database).

Cell: 5.067 5.067 5.067 Å, 90.00 90.00 90.00°
Each line ends with the local moment (μB).
Fractional coordinates of all 5 atoms:
Zr (0.000, 0.000, 0.500)  0.14
Y (0.500, 0.500, 0.500)  0.15
Zr (0.000, 0.500, 0.000)  0.14
Zr (0.500, 0.000, 0.000)  0.14
Ga (0.000, 0.000, 0.000)  0.04

magnetization	0.22	μB/atom
crystal system	cubic
DFT formation energy	0.363	eV/atom
space group	Pm-3m, No. 221

[8]
# YZrGa

YZrGa after structural relaxation (PBEsol, the Alexandria database).

Cell: 4.168 4.168 8.420 Å, 104.33 104.33 90.00°
Fractional coordinates of all 6 atoms:
Zr (0.500, 0.000, 0.000)
Ga (0.628, 0.628, 0.257)
Zr (0.000, 0.500, 0.000)
Y (0.178, 0.178, 0.355)
Ga (0.372, 0.372, 0.743)
Y (0.822, 0.822, 0.645)

magnetization	0.00	μB/atom
crystal system	tetragonal
DFT formation energy	-0.487	eV/atom
space group	I4/mmm, No. 139

[9]
# Zr2Zn2Ga

Zr2Zn2Ga after structural relaxation (PBEsol, the Alexandria database).

Cell: 4.102 6.514 6.514 Å, 90.00 90.00 90.00°
Fractional coordinates of all 10 atoms:
Zn (0.000, 0.869, 0.631)
Zn (0.000, 0.369, 0.869)
Zr (0.500, 0.669, 0.831)
Ga (0.000, 0.000, 0.000)
Zn (0.000, 0.631, 0.131)
Zr (0.500, 0.169, 0.669)
Zn (0.000, 0.131, 0.369)
Zr (0.500, 0.831, 0.331)
Ga (0.000, 0.500, 0.500)
Zr (0.500, 0.331, 0.169)

magnetization	0.00	μB/atom
crystal system	tetragonal
DFT formation energy	-0.383	eV/atom
space group	P4/mbm, No. 127

[10]
# Zr3Ga

Zr3Ga after structural relaxation (PBEsol, the Alexandria database).

Cell: 4.287 4.287 4.287 Å, 90.00 90.00 90.00°
Fractional coordinates of all 4 atoms:
Zr (0.500, 0.500, 0.000)
Ga (0.000, 0.000, 0.000)
Zr (0.000, 0.500, 0.500)
Zr (0.500, 0.000, 0.500)

magnetization	0.00	μB/atom
crystal system	cubic
DFT formation energy	-0.371	eV/atom
space group	Pm-3m, No. 221

[11]
# Zr2Ga3

Zr2Ga3 after structural relaxation (PBEsol, the Alexandria database).

Cell: 5.430 5.430 7.351 Å, 100.78 100.78 119.58°
Fractional coordinates of all 10 atoms:
Ga (0.040, 0.179, 0.769)
Ga (0.850, 0.350, 0.500)
Zr (0.113, 0.753, 0.896)
Zr (0.003, 0.863, 0.396)
Ga (0.410, 0.271, 0.231)
Ga (0.429, 0.790, 0.269)
Zr (0.468, 0.607, 0.604)
Zr (0.857, 0.218, 0.104)
Ga (0.521, 0.160, 0.731)
Ga (0.600, 0.600, 0.000)

magnetization	0.00	μB/atom
crystal system	orthorhombic
DFT formation energy	-0.678	eV/atom
space group	Fdd2, No. 43

[12]
# Zr2Ga

Zr2Ga after structural relaxation (PBEsol, the Alexandria database).

Cell: 5.394 5.394 5.394 Å, 104.49 104.49 119.97°
Fractional coordinates of all 6 atoms:
Zr (0.847, 0.653, 0.500)
Zr (0.653, 0.153, 0.807)
Ga (0.750, 0.750, 0.000)
Zr (0.347, 0.847, 0.193)
Ga (0.250, 0.250, 0.000)
Zr (0.153, 0.347, 0.500)

magnetization	0.00	μB/atom
crystal system	tetragonal
DFT formation energy	-0.504	eV/atom
space group	I4/mcm, No. 140

What is the formula in the seventh record? YZr3Ga

The lowest DFT formation energy belongs to which entry? YGa

Which formula does entry 2 have? ZrGaW3

What is the formula in the fifth record? YGa